[1]
A relaxed structure of La2AlAg, computed with PBE.

POSCAR file:
```
La2AlAg
1.0
3.431 0.000 0.000
0.000 3.431 0.000
0.000 0.000 9.018
La Al Ag
2 1 1
Cartesian
0.000 0.000 0.000
1.716 1.716 3.123
1.716 1.716 6.771
0.000 0.000 5.434
```

Computed properties:
The calculation puts the energy at -0.311 Ry per atom. The total magnetic moment is 0.0 Bohr magnetons per cell. The energy of formation from the pure elements comes out at -11.1 kJ/mol of atoms.


[2]
A relaxed structure of La3Al2Ag, computed with PBE.

POSCAR file:
```
La3Al2Ag
1.0
3.754 0.000 0.000
0.000 3.754 0.000
0.000 0.000 11.748
La Al Ag
3 2 1
Cartesian
0.000 0.000 0.000
0.000 0.000 3.833
0.000 0.000 7.915
1.877 1.877 1.960
1.877 1.877 9.788
1.877 1.877 5.874
```

Computed properties:
The calculation puts the energy at -0.332 Ry per atom. The total magnetic moment is 0.0 Bohr magnetons per cell. The energy of formation from the pure elements comes out at -31.5 kJ/mol of atoms.


[3]
A relaxed structure of LaAlAg2, computed with PBE.

POSCAR file:
```
LaAlAg2
1.0
3.323 0.000 0.000
0.000 4.574 0.000
-1.657 0.000 6.002
La Al Ag
1 1 2
Cartesian
0.000 0.000 0.000
0.003 2.287 4.390
0.008 0.000 3.129
1.667 2.287 2.068
```

Computed properties:
The calculation puts the energy at -0.275 Ry per atom. The total magnetic moment is 0.0 Bohr magnetons per cell. The energy of formation from the pure elements comes out at -14.2 kJ/mol of atoms.


[4]
A relaxed structure of La6Al2Ag, computed with PBE.

POSCAR file:
```
La6Al2Ag
1.0
-5.031 5.253 5.408
5.031 -5.253 5.408
5.031 5.253 -5.408
La Al Ag
12 4 2
Cartesian
5.031 -3.017 3.535
3.070 0.000 2.768
6.993 0.000 2.768
3.262 2.806 0.000
6.801 2.806 0.000
0.000 2.235 1.873
5.031 3.017 3.535
-1.770 2.447 5.408
1.770 2.447 5.408
-1.962 5.253 2.641
1.962 5.253 2.641
0.000 8.270 1.873
1.380 0.000 0.000
8.683 0.000 0.000
0.000 0.000 4.090
0.000 0.000 6.727
5.031 0.000 0.000
0.000 5.253 0.000
```

Computed properties:
The calculation puts the energy relative to the lowest polymorph listed for this composition at 0.0 meV/atom. The calculation puts the energy at -0.339 Ry per atom. The total magnetic moment is 0.0 Bohr magnetons per cell. The energy of formation from the pure elements comes out at -17.6 kJ/mol of atoms.


[5]
A relaxed structure of LaAlAg2, computed with PBE.

POSCAR file:
```
LaAlAg2
1.0
1.648 0.951 9.567
-1.648 0.951 9.567
0.000 -1.903 9.567
La Al Ag
1 1 2
Cartesian
0.000 0.000 0.000
0.000 0.000 21.851
0.000 0.000 6.853
0.000 0.000 14.233
```

Computed properties:
The calculation puts the energy at -0.258 Ry per atom. The total magnetic moment is 0.4 Bohr magnetons per cell. The energy of formation from the pure elements comes out at 7.5 kJ/mol of atoms.


[6]
A relaxed structure of LaAl10Ag2, computed with PBE.

POSCAR file:
```
LaAl10Ag2
1.0
0.000 6.401 6.838
2.726 0.000 6.838
2.726 6.401 0.000
La Al Ag
1 10 2
Cartesian
0.000 0.000 0.000
1.363 3.201 0.000
2.726 2.307 4.430
2.726 4.980 5.322
2.726 2.307 9.247
2.726 7.822 5.322
1.363 3.201 6.838
2.726 4.980 8.355
2.726 10.495 4.430
2.726 7.822 8.355
2.726 10.495 9.247
1.363 0.000 3.419
1.363 6.401 3.419
```

Computed properties:
The calculation puts the energy at -0.282 Ry per atom. The total magnetic moment is 0.0 Bohr magnetons per cell. The energy of formation from the pure elements comes out at -14.0 kJ/mol of atoms.


[7]
A relaxed structure of LaAlAg2, computed with PBE.

POSCAR file:
```
LaAlAg2
1.0
4.216 0.000 0.000
0.000 4.708 0.000
-0.018 0.000 4.727
La Al Ag
1 1 2
Cartesian
0.000 0.000 0.000
-0.009 2.354 2.363
2.099 0.000 2.363
2.108 2.354 0.000
```

Computed properties:
The calculation puts the energy at -0.269 Ry per atom. The total magnetic moment is 0.0 Bohr magnetons per cell. The energy of formation from the pure elements comes out at -7.0 kJ/mol of atoms.


[8]
A relaxed structure of La2Al7Ag, computed with PBE.

POSCAR file:
```
La2Al7Ag
1.0
4.377 0.000 0.000
0.000 4.377 0.000
0.000 0.000 11.110
La Al Ag
2 7 1
Cartesian
0.000 2.188 2.749
2.188 0.000 8.361
0.000 0.000 0.000
0.000 2.188 7.035
0.000 2.188 9.588
2.188 0.000 1.522
2.188 0.000 4.075
2.188 2.188 0.000
2.188 2.188 5.555
0.000 0.000 5.555
```

Computed properties:
The calculation puts the energy at -0.315 Ry per atom. The total magnetic moment is 0.0 Bohr magnetons per cell. The energy of formation from the pure elements comes out at -38.0 kJ/mol of atoms.


[9]
A relaxed structure of La2AlAg2, computed with PBE.

POSCAR file:
```
La2AlAg2
1.0
-3.006 3.006 3.941
3.006 -3.006 3.941
3.006 3.006 -3.941
La Al Ag
2 1 2
Cartesian
3.006 0.000 1.971
0.000 3.006 1.971
0.000 0.000 0.000
0.000 0.000 2.647
0.000 0.000 5.235
```

Computed properties:
The calculation puts the energy relative to the lowest polymorph listed for this composition at 229.8 meV/atom. The calculation puts the energy at -0.289 Ry per atom. The total magnetic moment is 0.0 Bohr magnetons per cell. The energy of formation from the pure elements comes out at -7.2 kJ/mol of atoms.


[10]
A relaxed structure of La3Al8Ag, computed with PBE.

POSCAR file:
```
La3Al8Ag
1.0
2.855 1.648 9.223
-2.855 1.648 9.223
0.000 -3.297 9.223
La Al Ag
3 8 1
Cartesian
0.000 0.000 0.000
0.000 0.000 3.585
0.000 0.000 17.098
-1.443 -0.833 10.989
0.000 -1.657 6.389
-1.435 0.829 6.389
0.000 0.000 8.681
1.443 -0.833 10.989
1.435 0.829 6.389
0.000 1.667 10.989
0.000 0.000 22.525
0.000 0.000 13.430
```

Computed properties:
The calculation puts the energy at -0.316 Ry per atom. The total magnetic moment is 0.0 Bohr magnetons per cell. The energy of formation from the pure elements comes out at -32.4 kJ/mol of atoms.


[11]
A relaxed structure of LaAlAg2, computed with PBE.

POSCAR file:
```
LaAlAg2
1.0
3.200 -5.112 0.000
3.200 5.112 0.000
-1.233 0.000 2.794
La Al Ag
1 1 2
Cartesian
0.000 0.000 0.000
3.200 0.000 0.000
0.984 2.556 1.397
0.984 -2.556 1.397
```

Computed properties:
The calculation puts the energy at -0.259 Ry per atom. The total magnetic moment is 0.0 Bohr magnetons per cell. The energy of formation from the pure elements comes out at 7.0 kJ/mol of atoms.


[12]
A relaxed structure of La2Al4Ag5, computed with PBE.

POSCAR file:
```
La2Al4Ag5
1.0
-2.931 4.387 4.531
2.931 -4.387 4.531
2.931 4.387 -4.531
La Al Ag
2 4 5
Cartesian
0.000 1.861 0.000
0.000 6.913 0.000
2.931 2.177 -1.434
2.931 2.177 1.434
0.000 2.210 3.097
0.000 2.210 5.965
2.931 0.000 0.000
1.448 4.387 -1.865
1.482 0.000 2.666
1.448 4.387 1.865
1.482 0.000 6.397
```

Computed properties:
The calculation puts the energy at -0.276 Ry per atom. The total magnetic moment is 0.0 Bohr magnetons per cell. The energy of formation from the pure elements comes out at -19.1 kJ/mol of atoms.


[13]
A relaxed structure of La2AlAg2, computed with PBE.

POSCAR file:
```
La2AlAg2
1.0
8.887 0.000 0.000
0.000 8.887 0.000
0.000 0.000 3.534
La Al Ag
4 2 4
Cartesian
1.587 2.857 0.000
2.857 7.300 0.000
6.031 1.587 0.000
7.300 6.031 0.000
0.000 0.000 0.000
4.444 4.444 0.000
1.034 5.477 1.767
3.410 1.034 1.767
5.477 7.854 1.767
7.854 3.410 1.767
```

Computed properties:
The calculation puts the energy relative to the lowest polymorph listed for this composition at 291.9 meV/atom. The calculation puts the energy at -0.285 Ry per atom. The total magnetic moment is 0.0 Bohr magnetons per cell. The energy of formation from the pure elements comes out at -1.2 kJ/mol of atoms.


[14]
A relaxed structure of La2AlAg, computed with PBE.

POSCAR file:
```
La2AlAg
1.0
0.000 3.698 3.698
3.698 0.000 3.698
3.698 3.698 0.000
La Al Ag
2 1 1
Cartesian
0.000 0.000 0.000
1.849 1.849 1.849
5.546 5.546 5.546
3.698 3.698 3.698
```

Computed properties:
The calculation puts the energy at -0.303 Ry per atom. The total magnetic moment is 0.2 Bohr magnetons per cell. The energy of formation from the pure elements comes out at -1.1 kJ/mol of atoms.


[15]
A relaxed structure of La2Al5Ag, computed with PBE.

POSCAR file:
```
La2Al5Ag
1.0
2.258 -8.550 0.000
2.258 8.550 0.000
0.000 0.000 9.320
La Al Ag
4 10 2
Cartesian
0.000 0.000 0.000
0.000 0.000 4.660
2.258 5.086 6.990
2.258 -5.086 2.330
2.258 5.345 1.002
2.258 5.345 3.658
2.258 2.507 0.211
2.258 2.507 4.449
2.258 1.646 6.990
2.258 -1.646 2.330
2.258 -2.507 4.871
2.258 -2.507 9.109
2.258 -5.345 5.662
2.258 -5.345 8.318
2.258 0.947 2.330
2.258 -0.947 6.990
```

Computed properties:
The calculation puts the energy relative to the lowest polymorph listed for this composition at 0.0 meV/atom. The calculation puts the energy at -0.318 Ry per atom. The total magnetic moment is 0.0 Bohr magnetons per cell. The energy of formation from the pure elements comes out at -38.3 kJ/mol of atoms.


[16]
A relaxed structure of La2Al2Ag, computed with PBE.

POSCAR file:
```
La2Al2Ag
1.0
5.914 -2.420 0.000
5.914 2.420 0.000
-3.744 0.000 8.823
La Al Ag
4 4 2
Cartesian
-0.154 0.000 3.443
1.693 0.000 0.250
6.391 0.000 8.573
8.238 0.000 5.380
3.488 0.000 3.095
2.363 0.000 7.474
5.722 0.000 1.348
4.597 0.000 5.728
-0.149 0.000 6.434
8.234 0.000 2.388
```

Computed properties:
The calculation puts the energy relative to the lowest polymorph listed for this composition at 3.0 meV/atom. The calculation puts the energy at -0.324 Ry per atom. The total magnetic moment is 0.0 Bohr magnetons per cell. The energy of formation from the pure elements comes out at -35.7 kJ/mol of atoms.


[17]
A relaxed structure of La2Al5Ag3, computed with PBE.

POSCAR file:
```
La2Al5Ag3
1.0
-5.433 6.295 3.131
5.433 -6.295 3.131
5.433 6.295 -3.131
La Al Ag
4 10 6
Cartesian
2.590 1.633 0.000
2.590 -1.633 3.131
2.844 7.928 0.000
2.844 4.663 3.131
5.433 -2.952 1.566
7.023 1.446 0.000
0.000 0.000 1.566
1.590 4.849 0.000
5.433 2.952 1.566
0.000 3.344 1.566
3.844 1.446 3.131
0.000 0.000 4.697
-1.590 4.849 3.131
0.000 9.247 1.566
4.144 -4.642 3.131
5.433 0.000 1.566
4.144 4.642 0.000
1.289 1.653 3.131
0.000 6.295 1.566
1.289 10.937 0.000
```

Computed properties:
The calculation puts the energy relative to the lowest polymorph listed for this composition at 0.0 meV/atom. The calculation puts the energy at -0.303 Ry per atom. The total magnetic moment is 0.0 Bohr magnetons per cell. The energy of formation from the pure elements comes out at -39.1 kJ/mol of atoms.


[18]
A relaxed structure of LaAl2Ag10, computed with PBE.

POSCAR file:
```
LaAl2Ag10
1.0
0.000 6.743 6.798
2.721 0.000 6.798
2.721 6.743 0.000
La Al Ag
1 2 10
Cartesian
0.000 0.000 0.000
1.360 0.000 3.399
1.360 6.743 3.399
1.360 3.371 0.000
2.721 4.446 2.423
2.721 5.309 5.274
2.721 9.040 2.423
2.721 8.176 5.274
1.360 3.371 6.798
2.721 5.309 8.321
2.721 4.446 11.172
2.721 8.176 8.321
2.721 9.040 11.172
```

Computed properties:
The calculation puts the energy at -0.240 Ry per atom. The total magnetic moment is 0.0 Bohr magnetons per cell. The energy of formation from the pure elements comes out at -11.7 kJ/mol of atoms.


[19]
A relaxed structure of La6AlAg5, computed with PBE.

POSCAR file:
```
La6AlAg5
1.0
5.395 0.000 0.000
0.000 7.681 0.000
-2.691 0.000 8.115
La Al Ag
6 1 5
Cartesian
0.000 1.897 0.000
0.000 5.785 0.000
0.011 1.946 5.405
0.011 5.735 5.405
2.694 1.946 2.710
2.694 5.735 2.710
2.698 3.841 0.000
-0.009 3.841 2.583
-0.008 0.000 2.727
2.698 0.000 0.000
2.712 0.000 5.389
2.713 3.841 5.532
```

Computed properties:
The calculation puts the energy at -0.311 Ry per atom. The total magnetic moment is 0.1 Bohr magnetons per cell. The energy of formation from the pure elements comes out at -26.3 kJ/mol of atoms.


[20]
A relaxed structure of La3Al3Ag8, computed with PBE.

POSCAR file:
```
La3Al3Ag8
1.0
8.285 -2.362 0.000
8.285 2.362 0.000
-5.102 0.000 7.832
La Al Ag
3 3 8
Cartesian
0.000 0.000 0.000
3.412 0.000 2.260
8.055 0.000 5.572
-2.551 0.000 3.916
2.090 0.000 5.365
9.378 0.000 2.467
-2.155 0.000 6.552
0.139 0.000 3.335
0.753 0.000 7.628
4.783 0.000 5.244
6.684 0.000 2.588
10.715 0.000 0.204
11.328 0.000 4.497
13.623 0.000 1.279
```

Computed properties:
The calculation puts the energy at -0.278 Ry per atom. The total magnetic moment is 0.0 Bohr magnetons per cell. The energy of formation from the pure elements comes out at -29.0 kJ/mol of atoms.


[21]
A relaxed structure of La5AlAg, computed with PBE.

POSCAR file:
```
La5AlAg
1.0
4.954 -5.815 0.000
4.954 5.815 0.000
-2.667 0.000 7.879
La Al Ag
10 2 2
Cartesian
0.062 1.097 7.107
2.954 3.626 5.909
2.836 2.252 3.150
1.395 -1.097 3.167
5.738 2.252 0.790
1.503 -2.252 7.089
5.845 1.097 4.712
4.405 -2.252 4.729
4.287 -3.626 1.970
7.179 -1.097 0.772
2.954 0.406 5.909
4.287 -0.406 1.970
0.000 0.000 0.000
-1.333 0.000 3.939
```

Computed properties:
The calculation puts the energy at -0.329 Ry per atom. The total magnetic moment is 0.0 Bohr magnetons per cell. The energy of formation from the pure elements comes out at -2.0 kJ/mol of atoms.


[22]
A relaxed structure of La5AlAg4, computed with PBE.

POSCAR file:
```
La5AlAg4
1.0
3.799 0.000 0.000
0.000 3.799 0.000
0.000 0.000 19.303
La Al Ag
5 1 4
Cartesian
0.000 0.000 0.000
0.000 0.000 3.878
0.000 0.000 7.765
0.000 0.000 11.538
0.000 0.000 15.426
1.900 1.900 9.652
1.900 1.900 1.927
1.900 1.900 5.809
1.900 1.900 13.494
1.900 1.900 17.376
```

Computed properties:
The calculation puts the energy at -0.313 Ry per atom. The total magnetic moment is 0.0 Bohr magnetons per cell. The energy of formation from the pure elements comes out at -27.2 kJ/mol of atoms.